[1]
Here is a geometry-optimized PrPaSb3 structure from Alexandria via LeMat-Bulk. Energies are from PBE.

Cell: 14.470 6.174 6.437 Å, 90.00 90.00 90.00°
Fractional coordinates of all 20 atoms:
Pr 0.172 0.019 0.250
Pr 0.172 0.481 0.750
Pr 0.828 0.519 0.250
Pr 0.828 0.981 0.750
Pa 0.412 0.750 0.000
Pa 0.412 0.750 0.500
Pa 0.588 0.250 0.000
Pa 0.588 0.250 0.500
Sb 0.003 0.750 0.000
Sb 0.003 0.750 0.500
Sb 0.244 0.525 0.250
Sb 0.244 0.975 0.750
Sb 0.403 0.192 0.250
Sb 0.403 0.308 0.750
Sb 0.597 0.692 0.250
Sb 0.597 0.808 0.750
Sb 0.756 0.025 0.250
Sb 0.756 0.475 0.750
Sb 0.997 0.250 0.000
Sb 0.997 0.250 0.500

Values from the calculation:
Formation energy without anion corrections = -0.6064 eV/atom
N(E_F) = 5.431 states/eV/f.u.
Magnetic moment = 0.9 μB/f.u.

[2]
Here is a geometry-optimized Sc2GaOs2 structure from Alexandria via LeMat-Bulk. Energies are from PBE.

Cell: 6.583 6.583 4.169 Å, 90.00 90.00 90.00°
Fractional coordinates of all 10 atoms:
Sc 0.175 0.325 0.000
Sc 0.325 0.825 0.000
Sc 0.675 0.175 0.000
Sc 0.825 0.675 0.000
Ga 0.000 0.000 0.500
Ga 0.500 0.500 0.500
Os 0.134 0.634 0.500
Os 0.366 0.134 0.500
Os 0.634 0.866 0.500
Os 0.866 0.366 0.500

Values from the calculation:
Electronic total energy = -7.95 eV/atom
N(E_F) = 4.518 states/eV/f.u.
Magnetic moment = 0.0 μB/f.u.

[3]
Here is a geometry-optimized BaHf2Rh2 structure from Alexandria via LeMat-Bulk. Energies are from PBE.

Cell: 6.890 6.890 6.890 Å, 141.85 141.85 55.06°
Fractional coordinates of all 5 atoms:
Ba 0.000 0.000 0.000
Hf 0.250 0.750 0.500
Hf 0.750 0.250 0.500
Rh 0.368 0.368 0.000
Rh 0.632 0.632 0.000

Values from the calculation:
Electronic total energy = -7.84 eV/atom
N(E_F) = 2.069 states/eV/f.u.
Magnetic moment = 0.0 μB/f.u.

[4]
Here is a geometry-optimized Pm2Pr2Sm2In structure from Alexandria via LeMat-Bulk. Energies are from PBE.

Cell: 6.811 6.811 6.759 Å, 96.09 96.09 48.89°
Fractional coordinates of all 7 atoms:
Pm 0.065 0.065 0.272
Pm 0.935 0.935 0.728
Pr 0.242 0.242 0.843
Pr 0.758 0.758 0.157
Sm 0.368 0.368 0.384
Sm 0.632 0.632 0.616
In 0.500 0.500 0.000

Values from the calculation:
Electronic total energy = -4.55 eV/atom
N(E_F) = 10.019 states/eV/f.u.
Magnetic moment = 0.0 μB/f.u.

[5]
Here is a geometry-optimized La7Pm12Sc structure from Alexandria via LeMat-Bulk. Energies are from PBE.

Cell: 10.015 10.015 10.015 Å, 109.47 109.47 109.47°
Fractional coordinates of all 20 atoms:
La 0.000 0.000 0.500
La 0.000 0.500 0.000
La 0.000 0.500 0.500
La 0.500 0.000 0.000
La 0.500 0.000 0.500
La 0.500 0.500 0.000
La 0.500 0.500 0.500
Pm 0.000 0.243 0.757
Pm 0.000 0.757 0.243
Pm 0.243 0.000 0.757
Pm 0.243 0.243 0.487
Pm 0.243 0.487 0.243
Pm 0.243 0.757 0.000
Pm 0.487 0.243 0.243
Pm 0.513 0.757 0.757
Pm 0.757 0.000 0.243
Pm 0.757 0.243 0.000
Pm 0.757 0.513 0.757
Pm 0.757 0.757 0.513
Sc 0.000 0.000 0.000

Values from the calculation:
Electronic total energy = -4.30 eV/atom
N(E_F) = 35.902 states/eV/f.u.
Magnetic moment = 0.0 μB/f.u.

[6]
Here is a geometry-optimized CsAsCl5 structure from Alexandria via LeMat-Bulk. Energies are from PBE.

Cell: 7.401 7.401 7.401 Å, 117.67 87.42 125.49°
Fractional coordinates of all 7 atoms:
Cs 0.000 0.000 0.000
As 0.505 0.005 0.500
Cl 0.160 0.660 0.500
Cl 0.502 0.311 0.810
Cl 0.502 0.692 0.190
Cl 0.510 0.192 0.318
Cl 0.874 0.192 0.682

Values from the calculation:
Formation energy without anion corrections = -0.9464 eV/atom
N(E_F) = 3.221 states/eV/f.u.
Magnetic moment = 0.0 μB/f.u.

- N(E_F) of number 3 (BaHf2Rh2)?
  2.069 states/eV/f.u.